Record 1
GGA-PBE HoSi2Rh3, relaxed; VASP energy = -7.244 eV/atom; formation energy from raw total energies = -1.00 eV/atom; offset from the most stable computed form = 27.0 meV/atom; spin magnetization = 0.0 μB/f.u.
1.0
-2.670 0.076 -2.921
-2.152 -6.493 4.479
-4.123 7.812 3.972
Rh Si Ho
9 6 3
direct
0.621 0.241 0.197
0.500 0.000 0.500
0.039 0.078 0.328
0.961 0.922 0.672
0.677 0.355 0.957
0.379 0.759 0.803
0.218 0.437 0.392
0.782 0.563 0.608
0.323 0.645 0.043
0.536 0.073 0.778
0.805 0.610 0.872
0.362 0.724 0.553
0.464 0.927 0.222
0.638 0.276 0.447
0.195 0.390 0.128
0.160 0.321 0.699
0.840 0.679 0.301
0.000 0.000 0.000

Record 2
GGA-PBE HoSi3Rh5, relaxed; VASP energy = -7.161 eV/atom; formation energy from raw total energies = -0.76 eV/atom; offset from the most stable computed form = 217.0 meV/atom; spin magnetization = 0.0 μB/f.u.
1.0
3.899 0.000 0.000
-1.950 6.152 0.000
0.000 0.000 12.187
Rh Si Ho
10 6 2
direct
0.550 0.100 0.645
0.203 0.407 0.576
0.450 0.900 0.145
0.797 0.593 0.424
0.797 0.593 0.076
0.450 0.900 0.355
0.000 0.000 0.000
0.550 0.100 0.855
0.000 0.000 0.500
0.203 0.407 0.924
0.384 0.768 0.958
0.886 0.772 0.250
0.384 0.768 0.542
0.616 0.232 0.458
0.616 0.232 0.042
0.114 0.228 0.750
0.157 0.315 0.250
0.843 0.685 0.750